The following is a GGA-PBE calculation of a geometry-optimized Mg2BeZn structure, from Alexandria via LeMat-Bulk.

Cell: 4.9891 4.9891 4.9891 Å, 132.52 132.52 69.41°
Closest atoms and distances in Å follow each position.
Element x y z (fractional)
Mg  0.0000  0.0000  0.0000  4 Zn 2.84, 4 Be 2.87, 4 Mg 2.87
Mg  0.2500  0.7500  0.5000  4 Be 2.84, 4 Mg 2.87, 4 Zn 2.87
Be  0.7500  0.2500  0.5000  8 Mg 2.84-2.87, 4 Zn 2.87
Zn  0.5000  0.5000  0.0000  8 Mg 2.84-2.87, 4 Be 2.87

**Energy of formation**: 0.2318 eV/atom
**E_tot**: -1.82 eV per atom
**Relative energy among the computed polymorphs**: 47.6 kJ/mol of formula units
**Space group**: No. 119
**D(E_F)**: 1.4 states/eV per cell
**Volume**: 16.55 Å³ per atom